Computed, not measured: a geometry-optimized KHgRh3 structure at the PBE level of DFT.

```
KHgRh3
1.0
4.769 0.000 0.000
0.000 4.769 0.000
0.000 0.000 4.769
Rh K Hg
3 1 1
direct
0.000 0.000 0.500 Rh
0.500 0.000 0.000 Rh
0.000 0.500 0.000 Rh
0.000 0.000 0.000 K
0.500 0.500 0.500 Hg
```

**Uncorrected energy**: -2.660 eV/atom
**Density of states at the Fermi level**: 1.45 states/eV/atom
**DFT formation energy**: 2.03 eV/atom
**Spin magnetization**: 0.45 μB per atom
**Polymorph energy (0 for the lowest one)**: 0.732 eV/atom

***

Computed, not measured: a geometry-optimized KHg2Rh structure at the PBE level of DFT.

```
KHg2Rh
1.0
-4.651 2.471 3.702
-4.119 -3.994 2.920
5.980 2.222 -0.862
K Rh Hg
1 1 2
direct
0.750 0.250 0.500 K
0.250 0.750 0.500 Rh
0.054 0.054 0.000 Hg
0.446 0.446 0.000 Hg
```

**Uncorrected energy**: -2.093 eV/atom
**Density of states at the Fermi level**: 0.57 states/eV/atom
**DFT formation energy**: 0.17 eV/atom
**Spin magnetization**: 0.00 μB per atom
**Polymorph energy (0 for the lowest one)**: 0.149 eV/atom

***

Computed, not measured: a geometry-optimized KHg2Rh structure at the PBE level of DFT.

```
KHg2Rh
1.0
-2.328 2.473 0.176
-2.244 -2.206 1.290
2.547 1.855 7.605
Hg K Rh
2 1 1
direct
0.000 0.000 0.556 Hg
0.000 0.000 0.944 Hg
0.500 0.500 0.250 K
0.500 0.500 0.750 Rh
```

**Uncorrected energy**: -2.169 eV/atom
**Density of states at the Fermi level**: 0.58 states/eV/atom
**DFT formation energy**: 0.09 eV/atom
**Spin magnetization**: 0.00 μB per atom
**Polymorph energy (0 for the lowest one)**: 0.073 eV/atom